First-principles (PBE) data for a geometry-optimized CaTb4YS8 structure, as listed in Alexandria.

Cell: 8.1148 8.1148 8.1148 Å, 60.04 60.04 60.04°
Positions (direct):
Ca 0.0000 0.0000 0.0000
Tb 0.1192 0.6270 0.6270
Tb 0.2500 0.2500 0.2500
Tb 0.6270 0.1192 0.6270
Tb 0.6270 0.6270 0.1192
Y 0.6270 0.6270 0.6270
S 0.3830 0.3830 0.3830
S 0.3835 0.3835 0.8510
S 0.3835 0.8510 0.3835
S 0.4055 0.8647 0.8647
S 0.8510 0.3835 0.3835
S 0.8647 0.4055 0.8647
S 0.8647 0.8647 0.4055
S 0.8649 0.8649 0.8649

energy relative to the elements, uncorrected	-2708	kJ/mol of formula units
uncorrected energy	-6.2909	eV per atom


First-principles (PBE) data for a geometry-optimized Rb2CdOsBr6 structure, as listed in Alexandria.

Cell: 7.7167 7.7167 7.7167 Å, 119.87 119.87 90.22°
Positions (direct):
Rb 0.2500 0.7500 0.5000
Rb 0.7500 0.2500 0.5000
Cd 0.0000 0.0000 0.0000
Os 0.5000 0.5000 0.0000
Br 0.2652 0.2652 0.0000
Br 0.2663 0.2663 0.5327
Br 0.2663 0.7337 0.0000
Br 0.7337 0.2663 0.0000
Br 0.7337 0.7337 0.4673
Br 0.7348 0.7348 0.0000

energy relative to the elements, uncorrected	-717	kJ/mol of formula units
uncorrected energy	-3.1544	eV per atom


First-principles (PBE) data for a geometry-optimized CaTa2Cr structure, as listed in Alexandria.

Cell: 4.6678 4.6678 4.6678 Å, 60.00 60.00 60.00°
Positions (direct):
Ca 0.0000 0.0000 0.0000
Ta 0.2500 0.2500 0.2500
Ta 0.7500 0.7500 0.7500
Cr 0.5000 0.5000 0.5000

energy of formation from the pure elements	0.853	eV/atom
uncorrected energy	-7.9796	eV per atom
relative energy among the computed polymorphs	0.380	eV per atom


Q: Look up the uncorrected energy of the second one.
A: -3.1544 eV per atom


Q: Among the records above, which one has the highest uncorrected energy?
A: Rb2CdOsBr6


Q: Look up the uncorrected energy of the second one.
A: -3.1544 eV per atom